[1]
PBE KBa2LiRh, optimized geometry; DFT total energy = -14.087 eV per cell; formation energy from the elements = 0.02 eV per atom
1.0
6.081 0.000 0.000
0.000 6.081 0.000
0.000 0.000 5.582
K Ba Li Rh
1 2 1 1
direct
0.000 0.000 0.000 K
0.000 0.500 0.500 Ba
0.500 0.000 0.500 Ba
0.500 0.500 0.000 Li
0.500 0.500 0.500 Rh

=====

[2]
PBE Er8Mg2Pd, optimized geometry; DFT total energy = -46.108 eV per cell; formation energy from the elements = -0.11 eV per atom
1.0
8.652 -2.709 0.000
8.652 2.709 0.000
-2.485 0.000 6.538
Er Mg Pd
8 2 1
direct
0.016 0.016 0.274 Er
0.193 0.193 0.757 Er
0.350 0.350 0.565 Er
0.400 0.400 0.079 Er
0.600 0.600 0.921 Er
0.650 0.650 0.435 Er
0.807 0.807 0.243 Er
0.984 0.984 0.726 Er
0.184 0.184 0.193 Mg
0.816 0.816 0.807 Mg
0.500 0.500 0.500 Pd

=====

[3]
PBE ZrCd2Se, optimized geometry; DFT total energy = -13.830 eV per cell
1.0
1.842 -2.577 0.000
1.842 2.577 0.000
0.000 0.000 9.407
Zr Cd Se
1 2 1
direct
0.000 0.000 0.000 Zr
0.500 0.500 0.257 Cd
0.500 0.500 0.743 Cd
0.000 0.000 0.500 Se

=====

[4]
PBE LiFeGe2, optimized geometry; DFT total energy = -19.988 eV per cell; formation energy from the elements = -0.09 eV per atom; relative energy among the computed polymorphs = 0.09 eV per formula unit
1.0
1.463 0.845 8.095
-1.463 0.845 8.095
0.000 -1.689 8.095
Li Fe Ge
1 1 2
direct
0.000 0.000 0.000 Li
0.500 0.500 0.500 Fe
0.243 0.243 0.243 Ge
0.757 0.757 0.757 Ge

=====

[5]
PBE NdEr2S, optimized geometry; DFT total energy = -21.764 eV per cell; relative energy among the computed polymorphs = 0.00 eV per formula unit
1.0
1.852 1.069 9.333
-1.852 1.069 9.333
0.000 -2.139 9.333
Nd Er S
1 2 1
direct
0.000 0.000 0.000 Nd
0.560 0.560 0.560 Er
0.774 0.774 0.774 Er
0.167 0.167 0.167 S

=====

[6]
PBE TiFeBr2, optimized geometry; DFT total energy = -19.725 eV per cell; relative energy among the computed polymorphs = 0.00 eV per formula unit
1.0
1.640 0.947 8.700
-1.640 0.947 8.700
0.000 -1.893 8.700
Ti Fe Br
1 1 2
direct
0.000 0.000 0.000 Ti
0.500 0.500 0.500 Fe
0.402 0.402 0.402 Br
0.598 0.598 0.598 Br

=====

[7]
PBE PW2Se, optimized geometry; DFT total energy = -33.790 eV per cell; relative energy among the computed polymorphs = 0.89 eV per formula unit
1.0
3.877 -1.550 0.000
3.877 1.550 0.000
-1.248 0.000 5.334
P W Se
1 2 1
direct
0.000 0.000 0.000 P
0.255 0.255 0.793 W
0.745 0.745 0.207 W
0.500 0.500 0.500 Se

=====

[8]
PBE CeErN, optimized geometry; DFT total energy = -19.740 eV per cell; relative energy among the computed polymorphs = 1.99 eV per formula unit
1.0
0.000 3.015 3.015
3.015 0.000 3.015
3.015 3.015 0.000
Ce Er N
1 1 1
direct
0.000 0.000 0.000 Ce
0.500 0.500 0.500 Er
0.250 0.250 0.250 N